[1]
# CuSbTeS

CuSbTeS after structural relaxation (PBE, Alexandria).

Results
magnetic moment = 0.0 μB/f.u.
energy relative to the elements, uncorrected = -43 meV/atom

abc: 7.909 4.558 6.632
angles: 90.00 113.46 90.00
Space group Cm (No. 8)
Inequivalent atoms, fractional coordinates:
Cu (0.000, 0.000, 0.000) [2 per cell]
Sb (0.018, 0.500, 0.551) [2 per cell]
Te (0.364, 0.000, 0.091) [2 per cell]
S (0.372, 0.500, 0.615) [2 per cell]

[2]
# Y2Cr2Os

Y2Cr2Os after structural relaxation (PBE, Alexandria).

Results
magnetic moment = 1.3 μB/f.u.
N(E_F) = 12.699 states/eV per cell
final energy = -8.4576 eV per atom

abc: 6.313 6.313 4.778
angles: 90.00 90.00 90.00
Space group P4/mbm (No. 127)
Inequivalent atoms, fractional coordinates:
Y (0.180, 0.320, 0.000) [4 per cell]
Cr (0.126, 0.626, 0.500) [4 per cell]
Os (0.000, 0.000, 0.500) [2 per cell]

[3]
# Sr2AlSi

Sr2AlSi after structural relaxation (PBE, Alexandria).

Results
magnetic moment = 0.0 μB/f.u.
N(E_F) = 4.320 states/eV per cell
energy relative to the elements, uncorrected = -355 meV/atom

abc: 4.263 4.788 11.963
angles: 90.00 90.00 90.00
Space group Amm2 (No. 38)
Inequivalent atoms, fractional coordinates:
Sr (0.000, 0.000, 0.000) [2 per cell]
Sr (0.500, 0.000, 0.283) [2 per cell]
Al (0.000, 0.000, 0.697) [2 per cell]
Si (0.500, 0.000, 0.575) [2 per cell]

[4]
# Tl2GaBPb

Tl2GaBPb after structural relaxation (PBE, Alexandria).

Results
magnetic moment = 0.0 μB/f.u.
N(E_F) = 2.678 states/eV per cell
final energy = -2.5511 eV per atom

abc: 6.377 6.377 4.089
angles: 90.00 90.00 90.00
Space group P4/mmm (No. 123)
Inequivalent atoms, fractional coordinates:
Tl (0.000, 0.500, 0.000) [2 per cell]
Ga (0.000, 0.000, 0.500) [1 per cell]
B (0.500, 0.500, 0.500) [1 per cell]
Pb (0.500, 0.500, 0.000) [1 per cell]

Copy entry 4 word for word.
# Tl2GaBPb

Tl2GaBPb after structural relaxation (PBE, Alexandria).

Results
magnetic moment = 0.0 μB/f.u.
N(E_F) = 2.678 states/eV per cell
final energy = -2.5511 eV per atom

abc: 6.377 6.377 4.089
angles: 90.00 90.00 90.00
Space group P4/mmm (No. 123)
Inequivalent atoms, fractional coordinates:
Tl (0.000, 0.500, 0.000) [2 per cell]
Ga (0.000, 0.000, 0.500) [1 per cell]
B (0.500, 0.500, 0.500) [1 per cell]
Pb (0.500, 0.500, 0.000) [1 per cell]

What is the magnetic moment in the fourth record?
0.0 μB/f.u.

What is the magnetic moment in the second record?
1.3 μB/f.u.